# CsTlHg2Bi2

A geometry-optimized CsTlHg2Bi2 structure (PBE, Alexandria).

Computed properties:
formation energy from the elements	-0.140	eV/atom

Cell lengths 5.1064, 5.1064, 10.3342 Å; angles 90.00, 90.00, 120.00 degrees
Space group P-3m1 (No. 164)
Symmetry-distinct sites (fractional):
Cs1 0.0000 0.0000 0.0000 (multiplicity 1)
Tl1 0.0000 0.0000 0.5000 (multiplicity 1)
Hg1 0.3333 0.6667 0.3116 (multiplicity 2)
Bi1 0.3333 0.6667 0.7236 (multiplicity 2)

=====

# Cs2Tl5Hg2Bi2

A geometry-optimized Cs2Tl5Hg2Bi2 structure (PBE, Alexandria).

Computed properties:
formation energy from the elements	-0.035	eV/atom

Cell lengths 5.2524, 5.2524, 37.9518 Å; angles 90.00, 90.00, 90.00 degrees
Space group I4/mmm (No. 139)
Symmetry-distinct sites (fractional):
Cs1 0.0000 0.0000 0.2117 (multiplicity 4)
Tl1 0.0000 0.0000 0.0000 (multiplicity 2)
Tl2 0.0000 0.5000 0.1221 (multiplicity 8)
Hg1 0.0000 0.0000 0.0770 (multiplicity 4)
Bi1 0.0000 0.0000 0.3255 (multiplicity 4)

=====

# Cs2TlHg6Bi

A geometry-optimized Cs2TlHg6Bi structure (PBE, Alexandria).

Computed properties:
formation energy from the elements	-0.160	eV/atom

Cell lengths 7.7780, 7.7863, 8.4811 Å; angles 90.80, 117.01, 117.33 degrees
Space group P-1 (No. 2)
Symmetry-distinct sites (fractional):
Cs1 0.1039 0.4018 0.2982 (multiplicity 2)
Tl1 0.5000 0.5000 0.0000 (multiplicity 1)
Hg1 0.0061 0.8520 0.1523 (multiplicity 2)
Hg2 0.2662 0.1331 0.6530 (multiplicity 2)
Hg3 0.4628 0.1133 0.1271 (multiplicity 2)
Bi1 0.5000 0.0000 0.5000 (multiplicity 1)

=====

# Cs2Tl3Hg4Bi

A geometry-optimized Cs2Tl3Hg4Bi structure (PBE, Alexandria).

Computed properties:
formation energy from the elements	-0.154	eV/atom

Cell lengths 5.4773, 5.4773, 12.4515 Å; angles 90.00, 90.00, 90.00 degrees
Space group P-4m2 (No. 115)
Symmetry-distinct sites (fractional):
Cs1 0.0000 0.5000 0.2460 (multiplicity 2)
Tl1 0.0000 0.5000 0.8857 (multiplicity 2)
Tl2 0.5000 0.5000 0.5000 (multiplicity 1)
Hg1 0.0000 0.0000 0.0000 (multiplicity 1)
Hg2 0.0000 0.5000 0.6342 (multiplicity 2)
Hg3 0.5000 0.5000 0.0000 (multiplicity 1)
Bi1 0.0000 0.0000 0.5000 (multiplicity 1)

=====

# CsTl4HgBi2

A geometry-optimized CsTl4HgBi2 structure (PBE, Alexandria).

Computed properties:
formation energy from the elements	-0.113	eV/atom

Cell lengths 5.6876, 5.6876, 30.8963 Å; angles 90.00, 90.00, 120.00 degrees
Space group R-3m (No. 166, hexagonal axes)
Symmetry-distinct sites (fractional):
Cs1 0.0000 0.0000 0.0000 (multiplicity 3)
Tl1 0.0000 0.0000 0.1321 (multiplicity 6)
Tl2 0.0000 0.0000 0.3989 (multiplicity 6)
Hg1 0.0000 0.0000 0.5000 (multiplicity 3)
Bi1 0.0000 0.0000 0.2398 (multiplicity 6)

=====

# Cs2TlHgBi

A geometry-optimized Cs2TlHgBi structure (PBE, Alexandria).

Computed properties:
ΔE to the lowest computed polymorph	0	meV/atom
formation energy from the elements	-0.304	eV/atom

Cell lengths 9.2387, 5.5393, 9.3003 Å; angles 90.00, 107.61, 90.00 degrees
Space group P2_1/m (No. 11)
Symmetry-distinct sites (fractional):
Cs1 0.1384 0.2500 0.3781 (multiplicity 2)
Cs2 0.3171 0.2500 0.9371 (multiplicity 2)
Tl1 0.4243 0.7500 0.3277 (multiplicity 2)
Hg1 0.0956 0.7500 0.0633 (multiplicity 2)
Bi1 0.3721 0.7500 0.6542 (multiplicity 2)

=====

# Cs4ZnHg2Bi2

A geometry-optimized Cs4ZnHg2Bi2 structure (PBE, Alexandria).

Computed properties:
formation energy from the elements	-0.304	eV/atom

Cell lengths 13.9429, 10.2814, 6.1958 Å; angles 90.00, 92.23, 90.00 degrees
Space group C2/m (No. 12)
Symmetry-distinct sites (fractional):
Cs1 0.1216 0.2455 0.2066 (multiplicity 8)
Zn1 0.0000 0.5000 0.5000 (multiplicity 2)
Hg1 0.1656 0.0000 0.6960 (multiplicity 4)
Bi1 0.1669 0.5000 0.7068 (multiplicity 4)

=====

# CsZnHg2Bi

A geometry-optimized CsZnHg2Bi structure (PBE, Alexandria).

Computed properties:
formation energy from the elements	-0.063	eV/atom

Cell lengths 5.6489, 5.6489, 5.5371 Å; angles 90.00, 90.00, 90.00 degrees
Space group P4/mmm (No. 123)
Symmetry-distinct sites (fractional):
Cs1 0.0000 0.0000 0.0000 (multiplicity 1)
Zn1 0.5000 0.5000 0.5000 (multiplicity 1)
Hg1 0.0000 0.5000 0.5000 (multiplicity 2)
Bi1 0.5000 0.5000 0.0000 (multiplicity 1)